Entry 1:
First-principles (PBE) data for a relaxed structure of TlCu, as listed in the Alexandria database.

Cell lengths 3.2190, 11.9591, 6.4463 Å; angles 90.00, 90.00, 90.00 degrees
With the nearest neighbours (Å) after each atom.
Space group Amm2 (No. 38)
One atom of each set of equivalent atoms:
Tl 0.0000 0.0000 0.0000 [2 per cell]  4 Cu 2.84-2.87
Tl 0.5000 0.2333 0.6941 [4 per cell]  5 Cu 2.82-2.94
Cu 0.0000 0.1037 0.3965 [4 per cell]  3 Cu 2.48-2.53
Cu 0.5000 0.0000 0.6314 [2 per cell]  4 Cu 2.53, 2 Tl 2.82

Properties
**Formation energy from the elements**: 0.24 eV/atom
**Density of states at the Fermi level**: 6.32 states/eV/cell

---

Entry 2:
First-principles (PBE) data for a relaxed structure of MgCdSe2F, as listed in the Alexandria database.

Cell lengths 5.6434, 5.6434, 3.5148 Å; angles 90.00, 90.00, 90.00 degrees
With the nearest neighbours (Å) after each atom.
Space group P4/mmm (No. 123)
One atom of each set of equivalent atoms:
Mg 0.0000 0.0000 0.0000 [1 per cell]  2 F 1.76
Cd 0.5000 0.5000 0.0000 [1 per cell]  8 Se 3.32, 2 Cd 3.51
Se 0.0000 0.5000 0.5000 [2 per cell]  2 F 2.82
F 0.0000 0.0000 0.5000 [1 per cell]  2 Mg 1.76

Properties
**Raw formation energy**: -0.71 eV per atom
**Density of states at the Fermi level**: 3.54 states/eV/cell

---

Entry 3:
First-principles (PBE) data for a relaxed structure of Na3NbBr7, as listed in the Alexandria database.

Cell lengths 12.1273, 9.2810, 7.1711 Å; angles 90.00, 97.50, 90.00 degrees
With the nearest neighbours (Å) after each atom.
Space group Cm (No. 8)
One atom of each set of equivalent atoms:
Na 0.0000 0.0000 0.0000 [2 per cell]  2 Br 2.79-2.99
Na 0.3186 0.2272 0.5294 [4 per cell]  5 Br 2.76-3.01
Nb 0.3227 0.0000 0.0236 [2 per cell]  6 Br 2.58-2.70
Br 0.1934 0.1963 0.8632 [4 per cell]  1 Nb 2.58
Br 0.1945 0.0000 0.3037 [2 per cell]  1 Nb 2.70, 3 Na 2.95-2.99
Br 0.3950 0.5000 0.6299 [2 per cell]  3 Na 2.76-2.79
Br 0.4474 0.0000 0.7552 [2 per cell]  1 Nb 2.60
Br 0.4473 0.1986 0.2003 [4 per cell]  1 Nb 2.60

Properties
**Raw formation energy**: -1.19 eV per atom
**Density of states at the Fermi level**: 11.72 states/eV/cell

---

Entry 4:
First-principles (PBE) data for a relaxed structure of Tl2GeRh2O6, as listed in the Alexandria database.

Cell lengths 5.3619, 9.3278, 6.7379 Å; angles 90.00, 106.68, 90.00 degrees
With the nearest neighbours (Å) after each atom.
Space group C2/m (No. 12)
One atom of each set of equivalent atoms:
Tl 0.0000 0.1683 0.0000 [4 per cell]  6 O 2.83-2.88, 3 Tl 3.08-3.14
Ge 0.0000 0.0000 0.5000 [2 per cell]  6 O 1.98-1.99
Rh 0.0000 0.3333 0.5000 [4 per cell]  6 O 2.08
O 0.2154 0.1604 0.6548 [8 per cell]  1 Ge 1.99, 2 Rh 2.08
O 0.2353 0.5000 0.6536 [4 per cell]  1 Ge 1.98, 2 Rh 2.08

Properties
**Raw formation energy**: -0.93 eV per atom

---

Entry 5:
First-principles (PBE) data for a relaxed structure of SrZr3As, as listed in the Alexandria database.

Cell lengths 5.1998, 5.1998, 5.1998 Å; angles 90.00, 90.00, 90.00 degrees
With the nearest neighbours (Å) after each atom.
Space group Pm-3m (No. 221)
One atom of each set of equivalent atoms:
Sr 0.0000 0.0000 0.0000 [1 per cell]  12 Zr 3.68
Zr 0.0000 0.5000 0.5000 [3 per cell]  2 As 2.60
As 0.5000 0.5000 0.5000 [1 per cell]  6 Zr 2.60

Properties
**Formation energy from the elements**: 0.02 eV/atom
**Density of states at the Fermi level**: 4.67 states/eV/cell

---

Entry 6:
First-principles (PBE) data for a relaxed structure of InTcP2Cl, as listed in the Alexandria database.

Cell lengths 4.6665, 4.6665, 5.5497 Å; angles 90.00, 90.00, 90.00 degrees
With the nearest neighbours (Å) after each atom.
Space group P4/mmm (No. 123)
One atom of each set of equivalent atoms:
In 0.0000 0.0000 0.0000 [1 per cell]  4 Cl 3.30, 8 P 3.63
Tc 0.5000 0.5000 0.5000 [1 per cell]  4 P 2.33
P 0.0000 0.5000 0.5000 [2 per cell]  2 Tc 2.33
Cl 0.5000 0.5000 0.0000 [1 per cell]  2 Tc 2.77

Properties
**Raw formation energy**: 0.12 eV per atom
**Density of states at the Fermi level**: 2.51 states/eV/cell